VPdS2 | GGA-PBE | optimized geometry

- energy relative to the elements, uncorrected (meV per atom) = -486.6
- D(E_F) (states/eV/cell) = 2.5
- total energy (eV per formula unit) = -24.513

a = 3.951 Å, b = 3.951 Å, c = 4.937 Å
α = 90.00°, β = 90.00°, γ = 120.00°
Sites, in units of the cell vectors:
S (0.333, 0.667, 0.791)
S (0.667, 0.333, 0.330)
Pd (0.000, 0.000, 0.991)
V (0.333, 0.667, 0.344)

***

TaZnSi4 | GGA-PBE | optimized geometry

- energy relative to the elements, uncorrected (meV per atom) = 267.2
- D(E_F) (states/eV/cell) = 3.6
- total energy (eV per formula unit) = -33.216

a = 4.949 Å, b = 4.949 Å, c = 4.949 Å
α = 60.00°, β = 60.00°, γ = 60.00°
Sites, in units of the cell vectors:
Si (0.127, 0.624, 0.624)
Si (0.624, 0.624, 0.624)
Si (0.624, 0.624, 0.127)
Si (0.624, 0.127, 0.624)
Ta (0.250, 0.250, 0.250)
Zn (0.000, 0.000, 0.000)

***

- Which of these has the highest energy relative to the elements, uncorrected?
  TaZnSi4